Zn2HI after structural relaxation, computed with PBE.

Unit cell a=7.588 b=7.588 c=7.588 alpha=142.11 beta=142.11 gamma=54.67
Atoms (fractional coordinates):
Zn  0.375  0.072  0.197
Zn  0.822  0.625  0.697
Zn  0.875  0.178  0.803
Zn  0.928  0.125  0.303
H  0.000  0.000  0.000
H  0.750  0.250  0.500
I  0.250  0.750  0.500
I  0.500  0.500  0.000

Summary:
energy relative to the lowest polymorph listed for this composition = 0 meV per atom
calculated total energy = -13.625 eV per cell
space group = I-42d, No. 122
total moment = 0.0 μB/f.u.